Computed, not measured: an optimized crystal structure of Li3V4FeO12 at the GGA+U level of DFT.

Lattice parameters (Å, degrees): 5.7971 6.8916 6.9220 79.42 75.15 71.80
With the nearest neighbours (Å) after each atom.
Space group P1 (No. 1)
One atom of each set of equivalent atoms:
Li 0.0000 0.0000 0.0000  4 O 2.08-2.23
Li 0.0772 0.3341 0.6251  4 O 2.02-2.23
Li 0.4987 0.5387 0.4857  4 O 2.04-2.11
V 0.0731 0.4128 0.1021  4 O 1.70-1.81
V 0.0811 0.8692 0.5086  4 O 1.69-1.80
V 0.5364 0.0863 0.3264  3 O 1.76-1.92
V 0.5544 0.6081 0.9298  4 O 1.66-1.86
Fe 0.5789 0.1518 0.7904  4 O 2.00-2.14
O 0.1116 0.6209 0.6039  1 V 1.69
O 0.1429 0.2752 0.3198  1 V 1.70
O 0.1656 0.2506 0.9227  1 V 1.70
O 0.2322 0.6122 0.0380  2 V 1.81-1.82
O 0.4022 0.8550 0.3948  2 V 1.80-1.92
O 0.4892 0.2402 0.5208  1 V 1.78
O 0.5362 0.8528 0.8436  1 V 1.66
O 0.6243 0.1561 0.0663  1 V 1.76
O 0.6608 0.4668 0.7314  1 V 1.70
O 0.7448 0.5309 0.1244  2 V 1.80-1.86
O 0.8856 0.9372 0.3332  2 V 1.77-1.97
O 0.9725 0.0277 0.7009  1 V 1.74

Values from the calculation:
- Spin magnetization: 0.25 μB per atom
- VASP energy: -6.96 eV per atom